Entry from the Alexandria database: crystalline LaSmGaN3 at its relaxed geometry (GGA-PBE).

```
LaSmGaN3
1.0
-1.499 -2.556 1.937
6.623 -3.614 0.359
0.844 4.278 6.300
N La Ga Sm
6 2 2 2
Direct
0.750 0.161 0.503 N
0.750 0.870 0.140 N
0.250 0.603 0.860 N
0.250 0.839 0.497 N
0.750 0.397 0.140 N
0.250 0.130 0.860 N
0.750 0.825 0.819 La
0.250 0.175 0.181 La
0.750 0.903 0.393 Ga
0.250 0.097 0.607 Ga
0.250 0.637 0.166 Sm
0.750 0.363 0.834 Sm
```

Output
E_tot in eV per formula unit: -43.32
Total magnetization in μB per formula unit: 0.0
Energy relative to the elements, uncorrected in meV/atom: -945
Symmetry: P2_1/m, No. 11

***

Entry from the Alexandria database: crystalline Mn2SiSe at its relaxed geometry (GGA-PBE).

```
Mn2SiSe
1.0
7.556 -0.068 -0.040
6.972 2.913 -0.040
6.972 1.366 2.574
Se Si Mn
1 1 2
Direct
0.509 0.509 0.509 Se
0.739 0.739 0.739 Si
0.250 0.250 0.250 Mn
0.002 0.002 0.002 Mn
```

Output
E_tot in eV per formula unit: -26.38
Total magnetization in μB per formula unit: 3.6
Energy relative to the elements, uncorrected in meV/atom: 217
Symmetry: R3m, No. 160
Excess energy over the best structure of this formula in the dataset in meV per atom: 324

***

Entry from the Alexandria database: crystalline LiSnHg2Se4 at its relaxed geometry (GGA-PBE).

```
LiSnHg2Se4
1.0
-3.922 4.982 -3.285
-2.609 -5.266 -4.871
-6.652 -1.685 5.385
Se Hg Li Sn
8 4 2 2
Direct
0.378 0.155 0.000 Se
0.880 0.331 0.733 Se
0.878 0.845 0.500 Se
0.380 0.669 0.233 Se
0.864 0.840 0.000 Se
0.880 0.331 0.267 Se
0.364 0.160 0.500 Se
0.380 0.669 0.767 Se
0.999 0.667 0.249 Hg
0.499 0.333 0.749 Hg
0.499 0.333 0.251 Hg
0.999 0.667 0.751 Hg
0.003 0.160 0.500 Li
0.503 0.840 0.000 Li
0.496 0.825 0.500 Sn
0.996 0.175 0.000 Sn
```

Output
E_tot in eV per formula unit: -23.77
Total magnetization in μB per formula unit: 0.0
Energy relative to the elements, uncorrected in meV/atom: -414
Symmetry: Pmn2_1, No. 31

***

Entry from the Alexandria database: crystalline CeAlAs at its relaxed geometry (GGA-PBE).

```
CeAlAs
1.0
3.533 0.000 0.000
0.000 3.533 0.000
-1.767 -1.767 5.236
As Al Ce
1 1 1
Direct
0.587 0.587 0.174 As
0.984 0.984 0.968 Al
0.279 0.279 0.558 Ce
```

Output
E_tot in eV per formula unit: -15.85
Total magnetization in μB per formula unit: 1.4
Energy of formation from the pure elements in meV per atom: -509
Symmetry: I4mm, No. 107

***

Entry from the Alexandria database: crystalline Cd2SiBiRh at its relaxed geometry (GGA-PBE).

```
Cd2SiBiRh
1.0
-2.726 0.612 -4.260
0.497 -4.430 -0.955
-4.268 -1.035 2.582
Bi Rh Cd Si
1 1 2 1
Direct
0.500 0.500 0.500 Bi
0.000 0.500 0.000 Rh
0.000 0.000 0.500 Cd
0.500 0.000 0.000 Cd
0.000 0.000 0.000 Si
```

Output
E_tot in eV per formula unit: -16.80
Total magnetization in μB per formula unit: 0.0
Energy relative to the elements, uncorrected in meV/atom: 337
Symmetry: P4/mmm, No. 123

***

Entry from the Alexandria database: crystalline Al2Fe2Hg at its relaxed geometry (GGA-PBE).

```
Al2Fe2Hg
1.0
-1.853 1.853 5.713
1.853 -1.853 5.713
1.853 1.853 -5.713
Al Hg Fe
2 1 2
Direct
0.250 0.750 0.500 Al
0.750 0.250 0.500 Al
0.000 0.000 0.000 Hg
0.599 0.599 0.000 Fe
0.401 0.401 0.000 Fe
```

Output
E_tot in eV per formula unit: -23.61
Total magnetization in μB per formula unit: 3.3
Energy of formation from the pure elements in meV per atom: 220
Symmetry: I4/mmm, No. 139
Excess energy over the best structure of this formula in the dataset in meV per atom: 206

***

Entry from the Alexandria database: crystalline BePt2Se at its relaxed geometry (GGA-PBE).

```
BePt2Se
1.0
2.838 0.016 0.000
-0.016 2.838 0.000
0.000 0.000 7.702
Be Pt Se
1 2 1
Direct
0.500 0.500 0.809 Be
0.000 0.000 0.958 Pt
0.500 0.500 0.237 Pt
0.000 0.000 0.496 Se
```

Output
E_tot in eV per formula unit: -19.39
Total magnetization in μB per formula unit: 0.0
Energy relative to the elements, uncorrected in meV/atom: -24
Symmetry: P4mm, No. 99
Excess energy over the best structure of this formula in the dataset in meV per atom: 216

***

Entry from the Alexandria database: crystalline AcI2O6 at its relaxed geometry (GGA-PBE).

```
AcI2O6
1.0
-0.120 6.850 3.295
-7.249 2.675 0.535
2.332 -0.445 7.372
O I Ac
12 4 2
Direct
0.551 0.741 0.565 O
0.449 0.259 0.435 O
0.168 0.802 0.942 O
0.332 0.058 0.198 O
0.832 0.198 0.058 O
0.812 0.887 0.392 O
0.312 0.392 0.887 O
0.668 0.942 0.802 O
0.051 0.565 0.741 O
0.188 0.113 0.608 O
0.688 0.608 0.113 O
0.949 0.435 0.259 O
0.672 0.464 0.270 I
0.828 0.730 0.536 I
0.328 0.536 0.730 I
0.172 0.270 0.464 I
0.750 0.904 0.096 Ac
0.250 0.096 0.904 Ac
```

Output
E_tot in eV per formula unit: -46.57
Total magnetization in μB per formula unit: 0.0
Energy relative to the elements, uncorrected in meV/atom: -1068
Symmetry: C2/c, No. 15

***

Entry from the Alexandria database: crystalline SmGe3Pd5 at its relaxed geometry (GGA-PBE).

```
SmGe3Pd5
1.0
-3.033 1.246 -2.043
3.443 -4.298 -4.080
-7.065 -9.890 4.455
Sm Pd Ge
2 10 6
Direct
0.866 0.731 0.750 Sm
0.134 0.269 0.250 Sm
0.202 0.404 0.574 Pd
0.452 0.905 0.146 Pd
0.000 0.000 0.500 Pd
0.452 0.905 0.354 Pd
0.202 0.404 0.926 Pd
0.548 0.095 0.646 Pd
0.548 0.095 0.854 Pd
0.798 0.596 0.426 Pd
0.000 0.000 0.000 Pd
0.798 0.596 0.074 Pd
0.877 0.754 0.250 Ge
0.123 0.246 0.750 Ge
0.619 0.238 0.457 Ge
0.619 0.238 0.043 Ge
0.381 0.762 0.957 Ge
0.381 0.762 0.543 Ge
```

Output
E_tot in eV per formula unit: -49.97
Total magnetization in μB per formula unit: 0.0
Energy of formation from the pure elements in meV per atom: -604
Symmetry: Cmcm, No. 63

***

Entry from the Alexandria database: crystalline Nd4TlInAg2 at its relaxed geometry (GGA-PBE).

```
Nd4TlInAg2
1.0
5.423 0.000 0.000
2.711 4.696 0.000
2.711 1.565 8.869
Nd Ag In Tl
4 2 1 1
Direct
0.375 0.375 0.875 Nd
0.875 0.875 0.375 Nd
0.625 0.625 0.125 Nd
0.125 0.125 0.625 Nd
0.748 0.748 0.755 Ag
0.252 0.252 0.245 Ag
0.000 0.000 0.000 In
0.500 0.500 0.500 Tl
```

Output
E_tot in eV per formula unit: -32.63
Total magnetization in μB per formula unit: 0.9
Energy of formation from the pure elements in meV per atom: -344
Symmetry: R-3m, No. 166

***

Entry from the Alexandria database: crystalline Mg2Ag2Hg at its relaxed geometry (GGA-PBE).

```
Mg2Ag2Hg
1.0
-5.659 -5.094 0.954
4.566 -5.569 -2.649
1.085 -0.613 3.160
Mg Hg Ag
4 2 4
Direct
0.838 0.338 0.500 Mg
0.162 0.662 0.500 Mg
0.338 0.162 0.500 Mg
0.662 0.838 0.500 Mg
0.500 0.500 0.000 Hg
0.000 0.000 0.000 Hg
0.366 0.866 0.000 Ag
0.634 0.134 0.000 Ag
0.866 0.634 0.000 Ag
0.134 0.366 0.000 Ag
```

Output
E_tot in eV per formula unit: -9.98
Total magnetization in μB per formula unit: 0.0
Energy of formation from the pure elements in meV per atom: -157
Symmetry: P4/mbm, No. 127
Excess energy over the best structure of this formula in the dataset in meV per atom: 7

***

Entry from the Alexandria database: crystalline LaCdTe2 at its relaxed geometry (GGA-PBE).

```
LaCdTe2
1.0
5.534 0.000 0.000
2.767 4.792 0.000
2.767 1.597 4.518
La Te Cd
1 2 1
Direct
0.750 0.750 0.750 La
0.250 0.250 0.250 Te
0.000 0.000 0.000 Te
0.500 0.500 0.500 Cd
```

Output
E_tot in eV per formula unit: -14.33
Total magnetization in μB per formula unit: 0.0
Energy relative to the elements, uncorrected in meV/atom: -552
Symmetry: F-43m, No. 216

***

Look up the total magnetization of the first one.
0.0 μB per formula unit

***

Among the records above, which one has the highest E_tot?
Mg2Ag2Hg